[1]
Below is Ba2InIr after structural relaxation, with properties calculated at the GGA-PBE level.

density of states at the Fermi level = 10.5 states/eV per cell
DFT formation energy = 0.13 eV/atom
total moment = 0.0 Bohr magnetons per cell
raw total energy = -3.729 eV per atom

Cell and atoms, written as CIF:
```
data_Ba2InIr
_chemical_formula_sum 'Ba4 In2 Ir2'
_symmetry_space_group_name_H-M 'I -4 m 2'
_symmetry_Int_Tables_number 119
_symmetry_space_group_name_Hall 'I -4 -2'
_cell_length_a 5.160
_cell_length_b 5.160
_cell_length_c 8.692
_cell_angle_alpha 90.00
_cell_angle_beta 90.00
_cell_angle_gamma 90.00
loop_
_atom_site_label
_atom_site_type_symbol
_atom_site_fract_x
_atom_site_fract_y
_atom_site_fract_z
_atom_site_occupancy
Ba1 Ba 0.000 0.000 0.000 1
Ba2 Ba 0.000 0.500 0.250 1
In1 In 0.000 0.500 0.750 1
Ir1 Ir 0.000 0.000 0.500 1
```


[2]
Below is Ba6InIr2 after structural relaxation, with properties calculated at the GGA-PBE level.

density of states at the Fermi level = 34.7 states/eV per cell
DFT formation energy = -0.15 eV/atom
total moment = 0.0 Bohr magnetons per cell
raw total energy = -3.708 eV per atom

Cell and atoms, written as CIF:
```
data_Ba6InIr2
_chemical_formula_sum 'Ba24 In4 Ir8'
_symmetry_space_group_name_H-M 'I m m m'
_symmetry_Int_Tables_number 71
_symmetry_space_group_name_Hall '-I 2 2'
_cell_length_a 10.823
_cell_length_b 11.164
_cell_length_c 11.840
_cell_angle_alpha 90.00
_cell_angle_beta 90.00
_cell_angle_gamma 90.00
loop_
_atom_site_label
_atom_site_type_symbol
_atom_site_fract_x
_atom_site_fract_y
_atom_site_fract_z
_atom_site_occupancy
Ba1 Ba 0.000 0.216 0.221 1
Ba2 Ba 0.195 0.500 0.179 1
Ba3 Ba 0.204 0.317 0.500 1
In1 In 0.000 0.000 0.000 1
In2 In 0.000 0.000 0.500 1
Ir1 Ir 0.000 0.384 0.000 1
Ir2 Ir 0.000 0.500 0.390 1
```


[3]
Below is BaIn6Ir after structural relaxation, with properties calculated at the GGA-PBE level.

density of states at the Fermi level = 4.1 states/eV per cell
DFT formation energy = -0.26 eV/atom
total moment = 0.0 Bohr magnetons per cell
raw total energy = -3.666 eV per atom

Cell and atoms, written as CIF:
```
data_BaIn6Ir
_chemical_formula_sum 'Ba1 In6 Ir1'
_symmetry_space_group_name_H-M 'P 4/m m m'
_symmetry_Int_Tables_number 123
_symmetry_space_group_name_Hall '-P 4 2'
_cell_length_a 4.758
_cell_length_b 4.758
_cell_length_c 9.524
_cell_angle_alpha 90.00
_cell_angle_beta 90.00
_cell_angle_gamma 90.00
loop_
_atom_site_label
_atom_site_type_symbol
_atom_site_fract_x
_atom_site_fract_y
_atom_site_fract_z
_atom_site_occupancy
Ba1 Ba 0.000 0.000 0.000 1
In1 In 0.000 0.500 0.342 1
In2 In 0.500 0.500 0.148 1
Ir1 Ir 0.000 0.000 0.500 1
```


[4]
Below is BaIn2Ir after structural relaxation, with properties calculated at the GGA-PBE level.

density of states at the Fermi level = 3.7 states/eV per cell
DFT formation energy = -0.12 eV/atom
total moment = 0.0 Bohr magnetons per cell
raw total energy = -4.189 eV per atom

Cell and atoms, written as CIF:
```
data_BaIn2Ir
_chemical_formula_sum 'Ba1 In2 Ir1'
_symmetry_space_group_name_H-M 'P 4/m m m'
_symmetry_Int_Tables_number 123
_symmetry_space_group_name_Hall '-P 4 2'
_cell_length_a 3.482
_cell_length_b 3.482
_cell_length_c 8.303
_cell_angle_alpha 90.00
_cell_angle_beta 90.00
_cell_angle_gamma 90.00
loop_
_atom_site_label
_atom_site_type_symbol
_atom_site_fract_x
_atom_site_fract_y
_atom_site_fract_z
_atom_site_occupancy
Ba1 Ba 0.000 0.000 0.000 1
In1 In 0.500 0.500 0.319 1
Ir1 Ir 0.000 0.000 0.500 1
```


[5]
Below is Ba2InIr after structural relaxation, with properties calculated at the GGA-PBE level.

density of states at the Fermi level = 4.8 states/eV per cell
DFT formation energy = -0.03 eV/atom
total moment = 0.0 Bohr magnetons per cell
raw total energy = -3.889 eV per atom

Cell and atoms, written as CIF:
```
data_Ba2InIr
_chemical_formula_sum 'Ba2 In1 Ir1'
_symmetry_space_group_name_H-M 'P 4 m m'
_symmetry_Int_Tables_number 99
_symmetry_space_group_name_Hall 'P 4 -2'
_cell_length_a 3.794
_cell_length_b 3.794
_cell_length_c 9.600
_cell_angle_alpha 90.00
_cell_angle_beta 90.00
_cell_angle_gamma 90.00
loop_
_atom_site_label
_atom_site_type_symbol
_atom_site_fract_x
_atom_site_fract_y
_atom_site_fract_z
_atom_site_occupancy
Ba1 Ba 0.000 0.000 0.000 1
Ba2 Ba 0.500 0.500 0.428 1
In1 In 0.000 0.000 0.666 1
Ir1 Ir 0.500 0.500 0.773 1
```


[6]
Below is BaIn2Ir after structural relaxation, with properties calculated at the GGA-PBE level.

density of states at the Fermi level = 5.6 states/eV per cell
DFT formation energy = -0.09 eV/atom
total moment = 0.0 Bohr magnetons per cell
raw total energy = -4.153 eV per atom

Cell and atoms, written as CIF:
```
data_BaIn2Ir
_chemical_formula_sum 'Ba2 In4 Ir2'
_symmetry_space_group_name_H-M 'I m m m'
_symmetry_Int_Tables_number 71
_symmetry_space_group_name_Hall '-I 2 2'
_cell_length_a 3.335
_cell_length_b 5.768
_cell_length_c 11.226
_cell_angle_alpha 90.00
_cell_angle_beta 90.00
_cell_angle_gamma 90.00
loop_
_atom_site_label
_atom_site_type_symbol
_atom_site_fract_x
_atom_site_fract_y
_atom_site_fract_z
_atom_site_occupancy
Ba1 Ba 0.000 0.000 0.000 1
In1 In 0.000 0.500 0.198 1
Ir1 Ir 0.000 0.000 0.500 1
```